# 1
Entry from the Alexandria database: an optimized crystal structure of AlTc2Ir (GGA-PBE).

magnetization	0.0	μB per formula unit
volume	57.8	Å³/cell
E	-8.520	eV/atom
E_form	-0.1860	eV per atom
SG	P4/mmm, No. 123

abc: 2.7418 2.7418 7.6897
angles: 90.00 90.00 90.00
Sites, in units of the cell vectors:
Ir 0.5000 0.5000 0.7500
Tc 0.0000 0.0000 0.0005
Tc 0.0000 0.0000 0.4995
Al 0.5000 0.5000 0.2500

---

# 2
Entry from the Alexandria database: an optimized crystal structure of La8Pr3Y3 (GGA-PBE).

magnetization	0.0	μB per formula unit
volume	497.7	Å³/cell
E	-5.133	eV/atom
E_form	0.0922	eV per atom
SG	Immm, No. 71

abc: 5.7702 9.9701 9.9701
angles: 102.15 73.18 73.18
Sites, in units of the cell vectors:
La 0.6558 0.1137 0.5747
La 0.3442 0.8863 0.4253
La 0.6558 0.5747 0.1137
La 0.3442 0.4253 0.8863
La 0.8383 0.7686 0.5549
La 0.1617 0.2314 0.4451
La 0.8383 0.5549 0.7686
La 0.1617 0.4451 0.2314
Pr 0.5000 0.5000 0.5000
Pr 0.8039 0.1961 0.1961
Pr 0.1961 0.8039 0.8039
Y 0.5000 0.0000 0.0000
Y 0.0000 0.8221 0.1779
Y 0.0000 0.1779 0.8221

---

# 3
Entry from the Alexandria database: an optimized crystal structure of K3CePr3Se8 (GGA-PBE).

magnetization	0.0	μB per formula unit
volume	509.8	Å³/cell
E	-5.150	eV/atom
formation energy (no corrections)	-2490	kJ/mol of formula units
SG	R-3m, No. 166

abc: 8.6849 8.6865 9.2763
angles: 117.94 90.00 120.00
Sites, in units of the cell vectors:
K 0.0000 0.0000 0.0000
K 0.0000 0.5000 0.0000
K 0.5000 0.5000 0.0000
Ce 0.0000 0.0000 0.5000
Pr 0.5000 0.0000 0.5000
Pr 0.5000 0.5000 0.5000
Pr 0.0000 0.5000 0.5000
Se 0.2627 0.5254 0.2881
Se 0.7373 0.4746 0.7119
Se 0.7715 0.5430 0.2974
Se 0.2285 0.4570 0.7026
Se 0.7715 0.0258 0.2974
Se 0.2285 0.9742 0.7026
Se 0.2543 0.0258 0.2974
Se 0.7457 0.9742 0.7026

---

> What is the formula in the first record?

AlTc2Ir